No. 1
ZrPaPb, optimized geometry, DFT PBE-GGA; Fermi-level density of states = 5.6 states/eV/f.u.; DFT total energy = -7.075 eV per atom; magnetic moment = 1.31 μB/f.u.; ΔE_f = 0.18 eV per atom
1.0
5.304 0.000 0.000
-2.652 4.594 0.000
0.000 0.000 3.167
Zr Pa Pb
1 1 1
Direct
0.000 0.000 0.000
0.667 0.333 0.500
0.333 0.667 0.000

---

No. 2
CaTaSi2, optimized geometry, DFT PBE-GGA; Fermi-level density of states = 2.4 states/eV/f.u.; DFT total energy = -6.124 eV per atom; magnetic moment = 0.00 μB/f.u.; energy above the most stable polymorph in this dataset = 29.16 kJ per mole of atoms; formation energy (no corrections) = 0.051 eV/atom
1.0
3.258 0.000 0.000
0.000 3.258 0.000
0.000 0.000 7.317
Ca Ta Si
1 1 2
Direct
0.000 0.000 0.000
0.500 0.500 0.637
0.000 0.000 0.453
0.500 0.500 0.286

---

No. 3
TbNdHo3In, optimized geometry, DFT PBE-GGA; Fermi-level density of states = 7.7 states/eV/f.u.; DFT total energy = -4.392 eV per atom; magnetic moment = 0.00 μB/f.u.; ΔE_f = -0.08 eV per atom
1.0
10.631 -2.632 0.000
10.631 2.632 0.000
-1.179 0.000 6.800
Tb Nd Ho In
2 2 6 2
Direct
0.191 0.191 0.061
0.809 0.809 0.939
0.426 0.426 0.841
0.574 0.574 0.159
0.033 0.033 0.779
0.257 0.257 0.642
0.357 0.357 0.280
0.643 0.643 0.720
0.743 0.743 0.358
0.967 0.967 0.221
0.116 0.116 0.436
0.884 0.884 0.564